# PBE-GGA Li2ScBeW, relaxed
# spin magnetization = 0.000 μB per formula unit
# electronic total energy = -3.62 eV per atom
# energy of formation = 1.744 eV/atom
# volume = 19.4 A^3/atom
data_Li2ScBeW
_chemical_formula_sum 'Li2 Sc1 Be1 W1'
_symmetry_space_group_name_H-M 'P 1'
_symmetry_Int_Tables_number 1
_symmetry_space_group_name_Hall 'P 1'
_cell_length_a 4.526
_cell_length_b 4.728
_cell_length_c 4.526
_cell_angle_alpha 90.00
_cell_angle_beta 90.00
_cell_angle_gamma 90.00
loop_
_atom_site_label
_atom_site_type_symbol
_atom_site_fract_x
_atom_site_fract_y
_atom_site_fract_z
Sc1 Sc 0.000 0.000 0.000
Be1 Be 0.500 0.500 0.500
W1 W 0.000 0.500 0.000
Li1 Li 0.000 0.000 0.500
Li2 Li 0.500 0.000 0.000

# PBE-GGA Li2BeSe, relaxed
# spin magnetization = 0.000 μB per formula unit
# electronic total energy = -2.99 eV per atom
# volume = 15.1 A^3/atom
# E above lowest polymorph = 19.5 kJ/mol of atoms
# raw formation energy = -0.23 eV per atom
data_Li2BeSe
_chemical_formula_sum 'Li2 Be1 Se1'
_symmetry_space_group_name_H-M 'P 1'
_symmetry_Int_Tables_number 1
_symmetry_space_group_name_Hall 'P 1'
_cell_length_a 3.352
_cell_length_b 3.352
_cell_length_c 5.381
_cell_angle_alpha 90.00
_cell_angle_beta 90.00
_cell_angle_gamma 90.00
loop_
_atom_site_label
_atom_site_type_symbol
_atom_site_fract_x
_atom_site_fract_y
_atom_site_fract_z
Be1 Be 0.500 0.500 0.729
Li1 Li 0.000 0.000 0.983
Li2 Li 0.500 0.500 0.265
Se1 Se 0.000 0.000 0.523

# PBE-GGA Li2BeSe, relaxed
# spin magnetization = 0.000 μB per formula unit
# electronic total energy = -2.95 eV per atom
# volume = 14.3 A^3/atom
# E above lowest polymorph = 23.3 kJ/mol of atoms
# raw formation energy = -0.19 eV per atom
data_Li2BeSe
_chemical_formula_sum 'Li2 Be1 Se1'
_symmetry_space_group_name_H-M 'P 1'
_symmetry_Int_Tables_number 1
_symmetry_space_group_name_Hall 'P 1'
_cell_length_a 4.930
_cell_length_b 4.930
_cell_length_c 4.930
_cell_angle_alpha 135.85
_cell_angle_beta 135.85
_cell_angle_gamma 64.22
loop_
_atom_site_label
_atom_site_type_symbol
_atom_site_fract_x
_atom_site_fract_y
_atom_site_fract_z
Be1 Be 0.750 0.250 0.500
Li1 Li 0.000 0.000 0.000
Li2 Li 0.250 0.750 0.500
Se1 Se 0.500 0.500 0.000

# PBE-GGA Li2BeSe, relaxed
# spin magnetization = 0.000 μB per formula unit
# electronic total energy = -2.96 eV per atom
# volume = 13.7 A^3/atom
# E above lowest polymorph = 22.4 kJ/mol of atoms
# raw formation energy = -0.20 eV per atom
data_Li2BeSe
_chemical_formula_sum 'Li2 Be1 Se1'
_symmetry_space_group_name_H-M 'P 1'
_symmetry_Int_Tables_number 1
_symmetry_space_group_name_Hall 'P 1'
_cell_length_a 4.844
_cell_length_b 4.844
_cell_length_c 4.826
_cell_angle_alpha 135.64
_cell_angle_beta 135.64
_cell_angle_gamma 64.16
loop_
_atom_site_label
_atom_site_type_symbol
_atom_site_fract_x
_atom_site_fract_y
_atom_site_fract_z
Be1 Be 0.250 0.750 0.500
Li1 Li 0.000 0.000 0.000
Li2 Li 0.500 0.500 0.000
Se1 Se 0.750 0.250 0.500

# PBE-GGA Li2BeSe, relaxed
# spin magnetization = 0.000 μB per formula unit
# electronic total energy = -2.78 eV per atom
# volume = 16.0 A^3/atom
# E above lowest polymorph = 40.2 kJ/mol of atoms
# raw formation energy = -0.02 eV per atom
data_Li2BeSe
_chemical_formula_sum 'Li2 Be1 Se1'
_symmetry_space_group_name_H-M 'P 1'
_symmetry_Int_Tables_number 1
_symmetry_space_group_name_Hall 'P 1'
_cell_length_a 4.487
_cell_length_b 4.487
_cell_length_c 4.487
_cell_angle_alpha 60.00
_cell_angle_beta 60.00
_cell_angle_gamma 60.00
loop_
_atom_site_label
_atom_site_type_symbol
_atom_site_fract_x
_atom_site_fract_y
_atom_site_fract_z
Be1 Be 0.500 0.500 0.500
Li1 Li 0.000 0.000 0.000
Li2 Li 0.250 0.250 0.250
Se1 Se 0.750 0.750 0.750

# PBE-GGA Li2BeSe, relaxed
# spin magnetization = 0.000 μB per formula unit
# electronic total energy = -2.90 eV per atom
# volume = 15.5 A^3/atom
# E above lowest polymorph = 27.9 kJ/mol of atoms
# raw formation energy = -0.14 eV per atom
data_Li2BeSe
_chemical_formula_sum 'Li2 Be1 Se1'
_symmetry_space_group_name_H-M 'P 1'
_symmetry_Int_Tables_number 1
_symmetry_space_group_name_Hall 'P 1'
_cell_length_a 4.439
_cell_length_b 4.439
_cell_length_c 4.439
_cell_angle_alpha 60.00
_cell_angle_beta 60.00
_cell_angle_gamma 60.00
loop_
_atom_site_label
_atom_site_type_symbol
_atom_site_fract_x
_atom_site_fract_y
_atom_site_fract_z
Be1 Be 0.000 0.000 0.000
Se1 Se 0.500 0.500 0.500
Li1 Li 0.250 0.250 0.250
Li2 Li 0.750 0.750 0.750

# PBE-GGA Li2BeSe, relaxed
# spin magnetization = 0.000 μB per formula unit
# electronic total energy = -3.19 eV per atom
# volume = 16.2 A^3/atom
# E above lowest polymorph = 0.0 kJ/mol of atoms
# raw formation energy = -0.43 eV per atom
data_Li2BeSe
_chemical_formula_sum 'Li2 Be1 Se1'
_symmetry_space_group_name_H-M 'P 1'
_symmetry_Int_Tables_number 1
_symmetry_space_group_name_Hall 'P 1'
_cell_length_a 5.268
_cell_length_b 5.268
_cell_length_c 3.520
_cell_angle_alpha 89.99
_cell_angle_beta 89.99
_cell_angle_gamma 41.57
loop_
_atom_site_label
_atom_site_type_symbol
_atom_site_fract_x
_atom_site_fract_y
_atom_site_fract_z
Be1 Be 0.692 0.692 0.875
Li1 Li 0.968 0.968 0.876
Li2 Li 0.282 0.282 0.375
Se1 Se 0.558 0.558 0.375

# PBE-GGA Li3BeSe, relaxed
# spin magnetization = 0.252 μB per formula unit
# electronic total energy = -2.68 eV per atom
# volume = 21.9 A^3/atom
# E above lowest polymorph = 0.0 kJ/mol of atoms
# raw formation energy = -0.09 eV per atom
data_Li3BeSe
_chemical_formula_sum 'Li3 Be1 Se1'
_symmetry_space_group_name_H-M 'P 1'
_symmetry_Int_Tables_number 1
_symmetry_space_group_name_Hall 'P 1'
_cell_length_a 4.786
_cell_length_b 4.786
_cell_length_c 4.786
_cell_angle_alpha 90.00
_cell_angle_beta 90.00
_cell_angle_gamma 90.00
loop_
_atom_site_label
_atom_site_type_symbol
_atom_site_fract_x
_atom_site_fract_y
_atom_site_fract_z
Be1 Be 0.500 0.500 0.500
Se1 Se 0.000 0.000 0.000
Li1 Li 0.000 0.500 0.000
Li2 Li 0.000 0.000 0.500
Li3 Li 0.500 0.000 0.000